VASP calculation (PBE-GGA) on AgGeB2Cl after structural relaxation.

a = 4.102 Å, b = 4.102 Å, c = 5.149 Å
α = 90.00°, β = 90.00°, γ = 90.00°
Space group P4/mmm (No. 123)
Inequivalent atoms, fractional coordinates:
Ag  0.000  0.000  0.000 x1
Ge  0.500  0.500  0.000 x1
B  0.000  0.500  0.500 x2
Cl  0.000  0.000  0.500 x1

E_form (uncorrected) (meV per atom): 1934.8
Energy (eV/atom): -2.599



VASP calculation (PBE-GGA) on Cs2HgPtBr6 after structural relaxation.

a = 7.991 Å, b = 7.991 Å, c = 11.217 Å
α = 90.00°, β = 90.00°, γ = 90.00°
Space group I4/mmm (No. 139)
Inequivalent atoms, fractional coordinates:
Cs  0.000  0.500  0.250 x4
Hg  0.000  0.000  0.000 x2
Pt  0.000  0.000  0.500 x2
Br  0.000  0.000  0.272 x4
Br  0.225  0.225  0.500 x8

E_form (uncorrected) (meV per atom): -938.0
Energy (eV/atom): -2.747



VASP calculation (PBE-GGA) on HfOs2Au after structural relaxation.

a = 6.437 Å, b = 6.437 Å, c = 6.437 Å
α = 90.00°, β = 90.00°, γ = 90.00°
Space group Fm-3m (No. 225)
Inequivalent atoms, fractional coordinates:
Hf  0.000  0.000  0.000 x4
Os  0.250  0.250  0.250 x8
Au  0.000  0.000  0.500 x4

Energy (eV/atom): -8.682



VASP calculation (PBE-GGA) on Tb4Nd3Er5 after structural relaxation.

a = 18.198 Å, b = 5.714 Å, c = 8.599 Å
α = 90.00°, β = 117.13°, γ = 90.00°
Space group C2/m (No. 12)
Inequivalent atoms, fractional coordinates:
Tb  0.028  0.000  0.190 x4
Tb  0.203  0.000  0.159 x4
Nd  0.000  0.500  0.500 x2
Nd  0.186  0.000  0.711 x4
Er  0.000  0.000  0.500 x2
Er  0.108  0.500  0.932 x4
Er  0.152  0.500  0.375 x4

Energy (eV/atom): -4.352



VASP calculation (PBE-GGA) on BaP2 after structural relaxation.

a = 10.462 Å, b = 4.901 Å, c = 9.218 Å
α = 90.00°, β = 122.88°, γ = 90.00°
Space group C2/m (No. 12)
Inequivalent atoms, fractional coordinates:
Ba  0.232  0.000  0.260 x4
P  0.068  0.500  0.943 x4
P  0.072  0.500  0.329 x4

Energy (eV/atom): -4.960



VASP calculation (PBE-GGA) on CsTcBr5 after structural relaxation.

a = 14.291 Å, b = 8.549 Å, c = 9.968 Å
α = 90.00°, β = 111.53°, γ = 90.00°
Space group C2/c (No. 15)
Inequivalent atoms, fractional coordinates:
Cs  0.000  0.012  0.250 x4
Tc  0.000  0.500  0.000 x4
Br  0.000  0.408  0.750 x4
Br  0.132  0.296  0.531 x8
Br  0.135  0.300  0.110 x8

E_form (uncorrected) (meV per atom): -761.1
Energy (eV/atom): -3.559



VASP calculation (PBE-GGA) on Sr2Mg after structural relaxation.

a = 4.148 Å, b = 6.522 Å, c = 10.043 Å
α = 90.00°, β = 90.00°, γ = 90.00°
Space group Immm (No. 71)
Inequivalent atoms, fractional coordinates:
Sr  0.000  0.000  0.196 x4
Mg  0.000  0.500  0.000 x2

Energy (eV/atom): -1.549



VASP calculation (PBE-GGA) on TiTl2Pb2 after structural relaxation.

a = 4.120 Å, b = 4.120 Å, c = 17.677 Å
α = 90.00°, β = 90.00°, γ = 90.00°
Space group I4/mmm (No. 139)
Inequivalent atoms, fractional coordinates:
Ti  0.000  0.000  0.000 x2
Tl  0.000  0.500  0.250 x4
Pb  0.000  0.000  0.415 x4

Energy (eV/atom): -3.571



VASP calculation (PBE-GGA) on BeO after structural relaxation.

a = 2.455 Å, b = 11.039 Å, c = 2.458 Å
α = 90.00°, β = 90.00°, γ = 90.00°
Space group Cmcm (No. 63)
Inequivalent atoms, fractional coordinates:
Be  0.000  0.173  0.250 x4
O  0.000  0.339  0.250 x4

E_form (uncorrected) (meV per atom): -2233.8
Energy (eV/atom): -6.576



VASP calculation (PBE-GGA) on IrRu2W2 after structural relaxation.

a = 7.289 Å, b = 7.289 Å, c = 2.908 Å
α = 90.00°, β = 90.00°, γ = 90.00°
Space group P4/mbm (No. 127)
Inequivalent atoms, fractional coordinates:
Ir  0.000  0.000  0.000 x2
Ru  0.131  0.369  0.000 x4
W  0.170  0.670  0.500 x4

Energy (eV/atom): -10.486



VASP calculation (PBE-GGA) on Fe2SnHgPd after structural relaxation.

a = 4.822 Å, b = 4.822 Å, c = 4.971 Å
α = 90.00°, β = 90.00°, γ = 90.00°
Space group P4/mmm (No. 123)
Inequivalent atoms, fractional coordinates:
Fe  0.000  0.500  0.000 x2
Sn  0.000  0.000  0.500 x1
Hg  0.500  0.500  0.500 x1
Pd  0.000  0.000  0.000 x1

Energy (eV/atom): -4.511



VASP calculation (PBE-GGA) on Ac2NdSmTe5 after structural relaxation.

a = 5.604 Å, b = 5.604 Å, c = 11.878 Å
α = 90.00°, β = 90.00°, γ = 90.00°
Space group P4/mmm (No. 123)
Inequivalent atoms, fractional coordinates:
Ac  0.000  0.000  0.193 x2
Nd  0.500  0.500  0.500 x1
Sm  0.500  0.500  0.000 x1
Te  0.000  0.000  0.500 x1
Te  0.000  0.500  0.000 x2
Te  0.500  0.500  0.253 x2

E_form (uncorrected) (meV per atom): -967.5
Energy (eV/atom): -4.680



VASP calculation (PBE-GGA) on CsAcMoN3 after structural relaxation.

a = 14.668 Å, b = 4.012 Å, c = 8.825 Å
α = 90.00°, β = 104.87°, γ = 90.00°
Space group C2/m (No. 12)
Inequivalent atoms, fractional coordinates:
Cs  0.137  0.000  0.066 x4
Ac  0.162  0.000  0.598 x4
Mo  0.012  0.500  0.339 x4
N  0.014  0.000  0.359 x4
N  0.118  0.500  0.774 x4
N  0.151  0.500  0.371 x4

E_form (uncorrected) (meV per atom): -425.7
Energy (eV/atom): -7.221



VASP calculation (PBE-GGA) on RbCaCuF6 after structural relaxation.

a = 7.604 Å, b = 7.611 Å, c = 9.903 Å
α = 90.00°, β = 90.00°, γ = 90.00°
Space group Imma (No. 74)
Inequivalent atoms, fractional coordinates:
Rb  0.000  0.250  0.150 x4
Ca  0.250  0.250  0.750 x4
Cu  0.000  0.000  0.500 x4
F  0.000  0.250  0.556 x4
F  0.000  0.250  0.865 x4
F  0.176  0.022  0.366 x16

E_form (uncorrected) (meV per atom): -2579.4
Energy (eV/atom): -4.612



VASP calculation (PBE-GGA) on TaVPd after structural relaxation.

a = 4.5516 Å, b = 4.5516 Å, c = 2.6512 Å
α = 90.00°, β = 90.00°, γ = 120.00°
Space group P-6m2 (No. 187)
Inequivalent atoms, fractional coordinates:
Ta  0.0000  0.0000  0.0000 x1
V  0.6667  0.3333  0.5000 x1
Pd  0.3333  0.6667  0.5000 x1

Energy (eV/atom): -8.653



VASP calculation (PBE-GGA) on Na2CeAuO4 after structural relaxation.

a = 6.067 Å, b = 6.067 Å, c = 6.576 Å
α = 90.00°, β = 90.00°, γ = 90.00°
Space group I-4 (No. 82)
Inequivalent atoms, fractional coordinates:
Na  0.000  0.000  0.000 x2
Na  0.000  0.500  0.250 x2
Ce  0.000  0.000  0.500 x2
Au  0.000  0.500  0.750 x2
O  0.182  0.800  0.721 x8

E_form (uncorrected) (meV per atom): -1697.9
Energy (eV/atom): -5.658



VASP calculation (PBE-GGA) on KIr2W after structural relaxation.

a = 2.956 Å, b = 2.956 Å, c = 8.744 Å
α = 90.00°, β = 90.00°, γ = 90.00°
Space group P4/mmm (No. 123)
Inequivalent atoms, fractional coordinates:
K  0.000  0.000  0.000 x1
Ir  0.500  0.500  0.310 x2
W  0.000  0.000  0.500 x1

Energy (eV/atom): -7.665



VASP calculation (PBE-GGA) on LaAgTePt2 after structural relaxation.

a = 5.000 Å, b = 5.000 Å, c = 5.946 Å
α = 90.00°, β = 90.00°, γ = 90.00°
Space group P4/mmm (No. 123)
Inequivalent atoms, fractional coordinates:
La  0.000  0.000  0.000 x1
Ag  0.500  0.500  0.000 x1
Te  0.000  0.000  0.500 x1
Pt  0.000  0.500  0.500 x2

E_form (uncorrected) (meV per atom): 244.8
Energy (eV/atom): -4.356



VASP calculation (PBE-GGA) on Na3Li3CdCl8 after structural relaxation.

a = 7.6275 Å, b = 7.6275 Å, c = 19.3477 Å
α = 90.00°, β = 90.00°, γ = 120.00°
Space group R-3m (No. 166, hexagonal axes)
Inequivalent atoms, fractional coordinates:
Na  0.0000  0.5000  0.0000 x9
Li  0.0000  0.5000  0.5000 x9
Cd  0.0000  0.0000  0.5000 x3
Cl  0.0000  0.0000  0.2430 x6
Cl  0.0018  0.5009  0.7576 x18

E_form (uncorrected) (meV per atom): -1653.7
Energy (eV/atom): -3.346



VASP calculation (PBE-GGA) on HOsIO after structural relaxation.

a = 3.701 Å, b = 3.704 Å, c = 5.332 Å
α = 90.00°, β = 90.36°, γ = 90.00°
Space group Pm (No. 6)
Inequivalent atoms, fractional coordinates:
H  0.000  0.000  0.000 x1
Os  0.479  0.000  0.997 x1
I  0.665  0.000  0.498 x1
O  0.477  0.500  0.997 x1

Energy (eV/atom): -5.344